A geometry-optimized TePt2Br structure, computed with PBE-GGA.

CIF file:
```
data_TePt2Br
_chemical_formula_sum 'Te2 Pt4 Br2'
_cell_length_a 5.390
_cell_length_b 5.390
_cell_length_c 5.890
_cell_angle_alpha 90.00
_cell_angle_beta 90.00
_cell_angle_gamma 90.00
_symmetry_space_group_name_H-M 'I 4/m m m'
_symmetry_Int_Tables_number 139
_symmetry_space_group_name_Hall '-I 4 2'
loop_
_atom_site_label
_atom_site_type_symbol
_atom_site_fract_x
_atom_site_fract_y
_atom_site_fract_z
_atom_site_occupancy
Te1 Te 0.000 0.000 0.000 1
Pt1 Pt 0.000 0.500 0.000 1
Br1 Br 0.000 0.000 0.500 1
```

## Properties
Total DFT energy (no corrections) = -3.9394 eV/atom
Magnetization = 0.00 Bohr magnetons per cell
Formation energy without anion corrections = 285 meV/atom
Energy relative to the lowest polymorph listed for this composition = 0.501 eV per atom
Crystal system = tetragonal